MnFeIr | PBE | optimized geometry

Cell and atoms, written as POSCAR:
```
MnFeIr
1.0
-0.7819 1.9784 1.5650
-1.7482 -1.7972 -0.8298
1.2204 -3.5280 5.0695
Fe Ir Mn
1 1 1
Cartesian
1.2101 -3.4981 5.0265
-0.6957 -0.4604 2.4627
-0.6036 -2.9163 3.3848
```

Calculated values
SG: P3m1, No. 156
energy relative to the elements: 0.05 eV/f.u.
relative energy among the computed polymorphs: 0.110 eV/atom
calculated volume: 38.03 Å³/cell

SmPIrN | PBE | optimized geometry

Cell and atoms, written as POSCAR:
```
SmPIrN
1.0
3.8999 0.0000 0.0000
0.0000 3.8999 0.0000
0.0000 0.0000 8.0846
Sm P N Ir
2 2 2 2
Cartesian
0.0000 1.9499 6.7555
1.9499 0.0000 1.3291
1.9499 0.0000 5.3836
0.0000 1.9499 2.7010
0.0000 1.9499 1.0324
1.9499 0.0000 7.0522
0.0000 0.0000 4.0423
1.9499 1.9499 4.0423
```

Calculated values
formation energy from raw total energies: -1.0638 eV per atom
SG: P4/nmm, No. 129
calculated volume: 122.96 Å³/cell

HfCoSi3 | PBE | optimized geometry

Cell and atoms, written as POSCAR:
```
HfCoSi3
1.0
-0.4299 3.9549 -2.9985
-0.6044 -3.0290 -3.9085
-4.9261 0.0265 0.7412
Si Co Hf
3 1 1
Cartesian
-0.2149 1.9774 -1.4992
-2.4631 0.0133 0.3706
-0.3022 -1.5145 -1.9542
-2.9802 0.4762 -3.0829
0.0000 0.0000 0.0000
```

Calculated values
formation energy from raw total energies: 1.3336 eV per atom
SG: Pm-3m, No. 221
calculated volume: 123.63 Å³/cell

CaZr2RuN4 | PBE | optimized geometry

Cell and atoms, written as POSCAR:
```
CaZr2RuN4
1.0
3.2618 0.0000 0.0000
-1.6309 5.6447 0.0000
0.0000 0.0000 11.4108
Ca Zr N Ru
2 4 8 2
Cartesian
1.6309 4.3250 2.8527
0.0000 1.3197 8.5581
1.6309 1.4897 5.2129
1.6309 1.4897 0.4925
0.0000 4.1550 10.9183
0.0000 4.1550 6.1979
0.0000 2.9897 1.2870
0.0000 5.0584 8.5581
0.0000 2.9897 4.4184
1.6309 2.6550 6.9924
0.0000 0.0000 5.7054
1.6309 0.5863 2.8527
0.0000 0.0000 0.0000
1.6309 2.6550 10.1238
1.6309 3.9816 8.5581
0.0000 1.6631 2.8527
```

Calculated values
formation energy from raw total energies: -0.9762 eV per atom
SG: Cmcm, No. 63
calculated volume: 210.09 Å³/cell

PmPb2F8 | PBE | optimized geometry

Cell and atoms, written as POSCAR:
```
PmPb2F8
1.0
-2.2661 -2.9387 1.1695
4.2201 -3.4454 -0.4803
1.9568 4.1317 7.7011
F Pb Pm
8 2 1
Cartesian
0.2133 -1.7264 2.5475
2.1796 -2.5392 4.3152
1.0672 -0.7145 0.2725
2.8436 -1.5379 8.1178
1.7312 0.2868 4.0751
1.7643 1.2775 6.6286
3.6975 -0.5260 5.8428
2.1465 -3.5299 1.7617
2.5699 -1.0625 2.3097
1.3409 -1.1899 6.0806
-1.1331 -1.4693 0.5848
```

Calculated values
formation energy from raw total energies: -2.8216 eV per atom
SG: C2/m, No. 12
relative energy among the computed polymorphs: 0.007 eV/atom
calculated volume: 182.17 Å³/cell

MgGeAs3 | PBE | optimized geometry

Cell and atoms, written as POSCAR:
```
MgGeAs3
1.0
4.9651 0.0000 0.0000
0.0000 4.9651 0.0000
0.0000 0.0000 4.9651
As Mg Ge
3 1 1
Cartesian
0.0000 0.0000 2.4826
2.4826 0.0000 0.0000
0.0000 2.4826 0.0000
2.4826 2.4826 2.4826
0.0000 0.0000 0.0000
```

Calculated values
SG: Pm-3m, No. 221
energy relative to the elements: 2.97 eV/f.u.
relative energy among the computed polymorphs: 0.000 eV/atom
calculated volume: 122.40 Å³/cell

Tc2NiRu | PBE | optimized geometry

Cell and atoms, written as POSCAR:
```
Tc2NiRu
1.0
1.6593 -1.1292 3.7728
0.7972 2.9769 2.9607
-2.3965 0.1956 3.5329
Tc Ni Ru
2 1 1
Cartesian
0.0450 1.5324 7.6998
0.0150 0.5108 2.5666
0.0000 0.0000 0.0000
0.0300 1.0216 5.1332
```

Calculated values
SG: Fm-3m, No. 225
energy relative to the elements: 1.47 eV/f.u.
relative energy among the computed polymorphs: 0.417 eV/atom
calculated volume: 55.19 Å³/cell

V6ReOs | PBE | optimized geometry

Cell and atoms, written as POSCAR:
```
V6ReOs
1.0
-1.9680 -2.0050 -3.1805
2.6158 -4.3635 1.1322
-4.4616 0.1090 2.6920
V Re Os
6 1 1
Cartesian
-0.0243 -2.6951 1.7141
0.7341 -4.7987 -0.2602
-2.2735 -2.6458 3.0747
-1.3391 -0.4921 1.1388
-0.5680 -2.6337 -0.8194
-1.4820 -4.7404 1.0743
-3.5877 -0.4432 2.4994
-2.7808 -2.5775 0.5144
```

Calculated values
SG: Amm2, No. 38
energy relative to the elements: -2.44 eV/f.u.
calculated volume: 108.62 Å³/cell

SrPa2GeS8 | PBE | optimized geometry

Cell and atoms, written as POSCAR:
```
SrPa2GeS8
1.0
6.2262 0.2102 -0.0045
0.2853 6.0832 -0.0071
0.0057 0.0092 8.2777
Pa S Sr Ge
2 8 1 1
Cartesian
3.2600 3.1535 6.2631
3.2572 3.1490 2.0029
5.3822 1.6300 6.5544
4.2072 4.6285 8.2694
4.2120 4.4445 4.1310
2.3052 1.8581 4.1350
1.1349 4.6726 1.7116
1.1386 4.6782 6.5538
5.3785 1.6243 1.7123
2.3100 1.6740 -0.0034
0.0028 0.0046 4.1388
0.0000 0.0000 0.0000
```

Calculated values
formation energy from raw total energies: -1.1687 eV per atom
SG: P2/m, No. 10
calculated volume: 313.02 Å³/cell

Sr3TbCe2P6 | PBE | optimized geometry

Cell and atoms, written as POSCAR:
```
Sr3TbCe2P6
1.0
7.2821 -0.0027 -0.0002
-3.6416 6.3061 -0.0002
-1.2146 -2.1031 6.9419
P Ce Tb Sr
6 2 1 3
Cartesian
2.4459 -0.0014 1.5224
3.6493 2.0824 5.4190
0.0086 0.0148 5.4205
-1.2235 2.1178 1.5224
-0.0201 4.2016 5.4190
2.4172 4.1854 1.5209
3.6405 2.1004 -0.0002
-0.0001 4.2030 -0.0002
0.0000 0.0000 0.0000
-2.4393 4.2094 3.4707
4.8651 -0.0092 3.4707
1.2129 2.1001 3.4707
```

Calculated values
SG: C2/m, No. 12
energy relative to the elements: -14.97 eV/f.u.
calculated volume: 318.71 Å³/cell

NbPdW2Se | PBE | optimized geometry

Cell and atoms, written as POSCAR:
```
NbPdW2Se
1.0
-1.7632 2.2689 3.8337
-1.1342 -4.0906 1.8993
4.2988 -0.2149 2.1043
Se Pd W Nb
1 1 2 1
Cartesian
-0.5671 -2.0453 0.9497
0.0000 0.0000 0.0000
2.1494 -0.1074 1.0521
-0.8816 1.1344 1.9169
0.7007 -1.0183 3.9187
```

Calculated values
formation energy from raw total energies: 1.9691 eV per atom
SG: P4/mmm, No. 123
calculated volume: 106.75 Å³/cell